1.
A relaxed structure of V2Cr2Pb. Source: Alexandria via LeMat-Bulk, functional GGA-PBE.

D(E_F), states/eV/cell: 7.83
Crystal system: tetragonal
SG: No. 139
ΔE to the lowest computed polymorph, kJ/mol of formula units: 96
Formation enthalpy at 0 K, eV/atom: 0.66

Structure (POSCAR):
```
V2Cr2Pb
1.0
-1.9882 1.9882 5.0262
1.9882 -1.9882 5.0262
1.9882 1.9882 -5.0262
V Cr Pb
2 2 1
direct
0.2500 0.7500 0.5000 V
0.7500 0.2500 0.5000 V
0.1127 0.1127 0.0000 Cr
0.8873 0.8873 0.0000 Cr
0.5000 0.5000 0.0000 Pb
```

2.
A relaxed structure of VCrPb2. Source: Alexandria via LeMat-Bulk, functional GGA-PBE.

D(E_F), states/eV/cell: 5.31
Crystal system: cubic
SG: No. 225
ΔE to the lowest computed polymorph, kJ/mol of formula units: 0
Formation enthalpy at 0 K, eV/atom: 0.66

Structure (POSCAR):
```
VCrPb2
1.0
0.0000 3.5226 3.5226
3.5226 0.0000 3.5226
3.5226 3.5226 0.0000
V Cr Pb
1 1 2
direct
0.0000 0.0000 0.0000 V
0.5000 0.5000 0.5000 Cr
0.2500 0.2500 0.2500 Pb
0.7500 0.7500 0.7500 Pb
```

3.
A relaxed structure of VCrPb3. Source: Alexandria via LeMat-Bulk, functional GGA-PBE.

D(E_F), states/eV/cell: 6.22
Crystal system: cubic
SG: No. 221
ΔE to the lowest computed polymorph, kJ/mol of formula units: 0
Formation enthalpy at 0 K, eV/atom: 0.77

Structure (POSCAR):
```
VCrPb3
1.0
5.2886 0.0000 0.0000
0.0000 5.2886 0.0000
0.0000 0.0000 5.2886
V Cr Pb
1 1 3
direct
0.0000 0.0000 0.0000 V
0.5000 0.5000 0.5000 Cr
0.0000 0.0000 0.5000 Pb
0.0000 0.5000 0.0000 Pb
0.5000 0.0000 0.0000 Pb
```

4.
A relaxed structure of VCr2Pb. Source: Alexandria via LeMat-Bulk, functional GGA-PBE.

D(E_F), states/eV/cell: 9.11
Crystal system: tetragonal
SG: No. 122
Formation enthalpy at 0 K, eV/atom: 1.01

Structure (POSCAR):
```
VCr2Pb
1.0
-1.9484 1.9484 8.9851
1.9484 -1.9484 8.9851
1.9484 1.9484 -8.9851
V Cr Pb
2 4 2
direct
0.0000 0.0000 0.0000 V
0.7500 0.2500 0.5000 V
0.0324 0.6250 0.9074 Cr
0.3750 0.2824 0.4074 Cr
0.7176 0.1250 0.0926 Cr
0.8750 0.9676 0.5926 Cr
0.2500 0.7500 0.5000 Pb
0.5000 0.5000 0.0000 Pb
```

5.
A relaxed structure of V2Cr2Pb. Source: Alexandria via LeMat-Bulk, functional GGA-PBE.

D(E_F), states/eV/cell: 8.15
Crystal system: tetragonal
SG: No. 127
ΔE to the lowest computed polymorph, kJ/mol of formula units: 0
Formation enthalpy at 0 K, eV/atom: 0.46

Structure (POSCAR):
```
V2Cr2Pb
1.0
7.0494 0.0000 0.0000
0.0000 7.0494 0.0000
0.0000 0.0000 3.0542
V Cr Pb
4 4 2
direct
0.1864 0.3136 0.0000 V
0.3136 0.8136 0.0000 V
0.6864 0.1864 0.0000 V
0.8136 0.6864 0.0000 V
0.1009 0.6009 0.5000 Cr
0.3991 0.1009 0.5000 Cr
0.6009 0.8991 0.5000 Cr
0.8991 0.3991 0.5000 Cr
0.0000 0.0000 0.5000 Pb
0.5000 0.5000 0.5000 Pb
```

6.
A relaxed structure of VCr3Pb. Source: Alexandria via LeMat-Bulk, functional GGA-PBE.

D(E_F), states/eV/cell: 4.80
Crystal system: cubic
SG: No. 221
ΔE to the lowest computed polymorph, kJ/mol of formula units: 0
Formation enthalpy at 0 K, eV/atom: 1.13

Structure (POSCAR):
```
VCr3Pb
1.0
4.5370 0.0000 0.0000
0.0000 4.5370 0.0000
0.0000 0.0000 4.5370
V Cr Pb
1 3 1
direct
0.0000 0.0000 0.0000 V
0.0000 0.0000 0.5000 Cr
0.0000 0.5000 0.0000 Cr
0.5000 0.0000 0.0000 Cr
0.5000 0.5000 0.5000 Pb
```

7.
A relaxed structure of VCrPb2. Source: Alexandria via LeMat-Bulk, functional GGA-PBE.

D(E_F), states/eV/cell: 12.25
Crystal system: tetragonal
SG: No. 122
ΔE to the lowest computed polymorph, kJ/mol of formula units: 87
Formation enthalpy at 0 K, eV/atom: 0.89

Structure (POSCAR):
```
VCrPb2
1.0
-3.8090 3.8090 3.1871
3.8090 -3.8090 3.1871
3.8090 3.8090 -3.1871
V Cr Pb
2 2 4
direct
0.0000 0.0000 0.0000 V
0.7500 0.2500 0.5000 V
0.2500 0.7500 0.5000 Cr
0.5000 0.5000 0.0000 Cr
0.1272 0.6250 0.0022 Pb
0.3750 0.3772 0.5022 Pb
0.6228 0.1250 0.9978 Pb
0.8750 0.8728 0.4978 Pb
```

8.
A relaxed structure of VCrPb3. Source: Alexandria via LeMat-Bulk, functional GGA-PBE.

D(E_F), states/eV/cell: 9.86
Crystal system: cubic
SG: No. 221
ΔE to the lowest computed polymorph, kJ/mol of formula units: 62
Formation enthalpy at 0 K, eV/atom: 0.90

Structure (POSCAR):
```
VCrPb3
1.0
5.2070 0.0000 0.0000
0.0000 5.2070 0.0000
0.0000 0.0000 5.2070
V Cr Pb
1 1 3
direct
0.0000 0.0000 0.0000 V
0.5000 0.5000 0.5000 Cr
0.0000 0.5000 0.5000 Pb
0.5000 0.0000 0.5000 Pb
0.5000 0.5000 0.0000 Pb
```